Computed, not measured: a geometry-optimized Zr2NiPd5 structure at the PBE-GGA level of DFT.

Calculated values
The value obtained for the energy relative to the elements is -706.6 meV/atom. As for the magnetization: 0.00 μB per cell. The calculation puts the total energy at -108.99 eV per cell.

Cell lengths 3.9912, 5.6677, 11.3079 Å; angles 90.00, 90.00, 90.00 degrees
Sites, in units of the cell vectors:
Zr  0.5000  0.2423  0.6214
Zr  0.5000  0.7577  0.3786
Zr  0.5000  0.2577  0.1214
Zr  0.5000  0.7423  0.8786
Ni  0.0000  0.0000  0.5000
Ni  0.0000  0.5000  0.0000
Pd  0.0000  0.0000  0.0000
Pd  0.0000  0.5000  0.5000
Pd  0.0000  0.5003  0.7523
Pd  0.0000  0.4997  0.2477
Pd  0.0000  0.9997  0.2523
Pd  0.0000  0.0003  0.7477
Pd  0.5000  0.2538  0.8775
Pd  0.5000  0.7462  0.1225
Pd  0.5000  0.2462  0.3775
Pd  0.5000  0.7538  0.6225